Entry 1:
YAlRu4: relaxed, GGA-PBE.

a = 5.2109 Å, b = 5.2109 Å, c = 5.2109 Å
α = 60.00°, β = 60.00°, γ = 60.00°
With the nearest neighbours (Å) after each atom.
Atoms (fractional coordinates):
Y  0.7500  0.7500  0.7500  12 Ru 3.06, 4 Al 3.19
Al  0.0000  0.0000  0.0000  12 Ru 3.05, 4 Y 3.19
Ru  0.8776  0.3741  0.3741  6 Ru 2.59-2.62
Ru  0.3741  0.3741  0.8776  6 Ru 2.59-2.62
Ru  0.3741  0.8776  0.3741  6 Ru 2.59-2.62
Ru  0.3741  0.3741  0.3741  6 Ru 2.59-2.62

**ΔH_f (0 K)**: -2.2 kcal/mol of atoms
**Raw total energy**: -7.979 eV/atom
**Calculated density**: 8.63 g cm⁻³



Entry 2:
YAl3Ru: relaxed, GGA-PBE.

a = 6.4365 Å, b = 6.4365 Å, c = 6.4365 Å
α = 90.00°, β = 90.00°, γ = 90.00°
With the nearest neighbours (Å) after each atom.
Atoms (fractional coordinates):
Y  0.0000  0.5000  0.5000  10 Al 2.97-3.22, 4 Ru 3.22
Y  0.5000  0.0000  0.5000  10 Al 2.97-3.22, 4 Ru 3.22
Y  0.5000  0.5000  0.0000  10 Al 2.97-3.22, 4 Ru 3.22
Al  0.5000  0.5000  0.5000  6 Y 3.22, 8 Al 3.24
Al  0.2096  0.2096  0.2096  3 Ru 2.67, 3 Al 2.70, 3 Y 2.97
Al  0.7904  0.7904  0.2096  3 Ru 2.67, 3 Al 2.70, 3 Y 2.97
Al  0.7904  0.2096  0.7904  3 Ru 2.67, 3 Al 2.70, 3 Y 2.97
Al  0.2096  0.7904  0.7904  3 Ru 2.67, 3 Al 2.70, 3 Y 2.97
Al  0.2096  0.2096  0.7904  3 Ru 2.67, 3 Al 2.70, 3 Y 2.97
Al  0.7904  0.7904  0.7904  3 Ru 2.67, 3 Al 2.70, 3 Y 2.97
Al  0.2096  0.7904  0.2096  3 Ru 2.67, 3 Al 2.70, 3 Y 2.97
Al  0.7904  0.2096  0.2096  3 Ru 2.67, 3 Al 2.70, 3 Y 2.97
Ru  0.5000  0.0000  0.0000  8 Al 2.67
Ru  0.0000  0.5000  0.0000  8 Al 2.67
Ru  0.0000  0.0000  0.5000  8 Al 2.67

**ΔH_f (0 K)**: -14.0 kcal/mol of atoms
**Raw total energy**: -6.000 eV/atom
**Calculated density**: 5.06 g cm⁻³



Entry 3:
YAl3Ru: relaxed, GGA-PBE.

a = 5.2950 Å, b = 5.2950 Å, c = 5.2950 Å
α = 90.00°, β = 90.00°, γ = 90.00°
With the nearest neighbours (Å) after each atom.
Atoms (fractional coordinates):
Y  0.0000  0.0000  0.0000  6 Al 2.65
Ru  0.5000  0.5000  0.5000  12 Al 3.74
Al  0.0000  0.5000  0.0000  2 Y 2.65
Al  0.0000  0.0000  0.5000  2 Y 2.65
Al  0.5000  0.0000  0.0000  2 Y 2.65

**ΔH_f (0 K)**: 42.4 kcal/mol of atoms
**Raw total energy**: -3.556 eV/atom
**Calculated density**: 3.03 g cm⁻³



Entry 4:
YAlRu2: relaxed, GGA-PBE.

a = 9.4567 Å, b = 9.4567 Å, c = 9.4567 Å
α = 17.93°, β = 17.93°, γ = 17.93°
With the nearest neighbours (Å) after each atom.
Atoms (fractional coordinates):
Y  0.5028  0.5028  0.5028  6 Y 2.95, 3 Ru 3.06, 3 Al 3.24
Ru  0.9990  0.9990  0.9990  3 Ru 2.62, 3 Al 2.63
Ru  0.2607  0.2607  0.2607  3 Ru 2.62
Al  0.7375  0.7375  0.7375  3 Ru 2.63

**ΔH_f (0 K)**: 5.4 kcal/mol of atoms
**Raw total energy**: -6.956 eV/atom
**Calculated density**: 7.54 g cm⁻³



Entry 5:
Y2AlRu: relaxed, GGA-PBE.

a = 8.2554 Å, b = 8.2554 Å, c = 8.2554 Å
α = 35.38°, β = 156.79°, γ = 153.68°
With the nearest neighbours (Å) after each atom.
Atoms (fractional coordinates):
Y  0.0000  0.3344  0.3344  1 Ru 2.60
Y  0.0000  0.6656  0.6656  1 Ru 2.60
Ru  0.0000  0.5000  0.5000  4 Al 2.51, 2 Y 2.60
Al  0.0000  0.0000  0.0000  4 Ru 2.51

**ΔH_f (0 K)**: -3.9 kcal/mol of atoms
**Raw total energy**: -6.657 eV/atom
**Calculated density**: 5.17 g cm⁻³



Entry 6:
YAlRu: relaxed, GGA-PBE.

a = 4.5031 Å, b = 4.5031 Å, c = 4.5031 Å
α = 60.00°, β = 60.00°, γ = 60.00°
With the nearest neighbours (Å) after each atom.
Atoms (fractional coordinates):
Y  0.0000  0.0000  0.0000  4 Ru 2.76
Ru  0.7500  0.7500  0.7500  4 Al 2.76, 4 Y 2.76
Al  0.5000  0.5000  0.5000  4 Ru 2.76

**ΔH_f (0 K)**: -5.8 kcal/mol of atoms
**Raw total energy**: -6.747 eV/atom
**Calculated density**: 5.58 g cm⁻³



Entry 7:
YAlRu3: relaxed, GGA-PBE.

a = 4.8549 Å, b = 4.8549 Å, c = 4.8549 Å
α = 90.00°, β = 90.00°, γ = 90.00°
With the nearest neighbours (Å) after each atom.
Atoms (fractional coordinates):
Y  0.0000  0.0000  0.0000  6 Ru 2.43
Ru  0.0000  0.5000  0.0000  2 Y 2.43
Ru  0.0000  0.0000  0.5000  2 Y 2.43
Ru  0.5000  0.0000  0.0000  2 Y 2.43
Al  0.5000  0.5000  0.5000  12 Ru 3.43

**ΔH_f (0 K)**: 43.5 kcal/mol of atoms
**Raw total energy**: -5.720 eV/atom
**Calculated density**: 6.08 g cm⁻³



Entry 8:
YAl2Ru2: relaxed, GGA-PBE.

a = 4.0140 Å, b = 4.0140 Å, c = 11.4772 Å
α = 100.07°, β = 100.07°, γ = 90.00°
With the nearest neighbours (Å) after each atom.
Atoms (fractional coordinates):
Y  0.6265  0.6265  0.2530  8 Al 3.10-3.46, 8 Ru 3.12-3.40
Y  0.3735  0.3735  0.7470  8 Al 3.10-3.46, 8 Ru 3.12-3.40
Al  0.0000  0.5000  0.0000  4 Ru 2.51
Al  0.1820  0.1820  0.3639  5 Ru 2.51-2.53
Al  0.5000  0.0000  0.0000  4 Ru 2.51
Al  0.8180  0.8180  0.6361  5 Ru 2.51-2.53
Ru  0.7500  0.2500  0.5000  4 Al 2.51
Ru  0.9319  0.9319  0.8639  5 Al 2.51-2.53
Ru  0.0681  0.0681  0.1361  5 Al 2.51-2.53
Ru  0.2500  0.7500  0.5000  4 Al 2.51

**ΔH_f (0 K)**: -11.2 kcal/mol of atoms
**Raw total energy**: -6.986 eV/atom
**Calculated density**: 6.39 g cm⁻³



Entry 9:
YAl2Ru2: relaxed, GGA-PBE.

a = 7.3429 Å, b = 7.3429 Å, c = 3.0767 Å
α = 90.00°, β = 90.00°, γ = 90.00°
With the nearest neighbours (Å) after each atom.
Atoms (fractional coordinates):
Y  0.0000  0.0000  0.0000  4 Ru 2.79, 2 Y 3.08
Y  0.5000  0.5000  0.0000  4 Ru 2.79, 2 Y 3.08
Ru  0.3472  0.8472  0.0000  6 Al 2.63-2.66, 2 Y 2.79
Ru  0.8472  0.6528  0.0000  6 Al 2.63-2.66, 2 Y 2.79
Ru  0.6528  0.1528  0.0000  6 Al 2.63-2.66, 2 Y 2.79
Ru  0.1528  0.3472  0.0000  6 Al 2.63-2.66, 2 Y 2.79
Al  0.1380  0.6380  0.5000  6 Ru 2.63-2.66, 1 Al 2.87
Al  0.6380  0.8620  0.5000  6 Ru 2.63-2.66, 1 Al 2.87
Al  0.8620  0.3620  0.5000  6 Ru 2.63-2.66, 1 Al 2.87
Al  0.3620  0.1380  0.5000  6 Ru 2.63-2.66, 1 Al 2.87

**ΔH_f (0 K)**: -11.7 kcal/mol of atoms
**Raw total energy**: -7.008 eV/atom
**Calculated density**: 6.91 g cm⁻³



Entry 10:
YAlRu: relaxed, GGA-PBE.

a = 4.3549 Å, b = 4.3549 Å, c = 3.6357 Å
α = 90.00°, β = 90.00°, γ = 120.00°
With the nearest neighbours (Å) after each atom.
Atoms (fractional coordinates):
Y  0.3333  0.6667  0.6667  6 Ru 3.10, 6 Al 3.10
Ru  0.6667  0.3333  0.1668  3 Al 2.51
Al  0.0000  0.0000  0.1666  3 Ru 2.51

**ΔH_f (0 K)**: -10.3 kcal/mol of atoms
**Raw total energy**: -6.939 eV/atom
**Calculated density**: 6.03 g cm⁻³



Entry 11:
YAl2Ru2: relaxed, GGA-PBE.

a = 4.1335 Å, b = 4.1335 Å, c = 6.0592 Å
α = 70.06°, β = 70.06°, γ = 90.00°
With the nearest neighbours (Å) after each atom.
Atoms (fractional coordinates):
Y  0.0000  0.0000  0.0000  8 Ru 3.16, 8 Al 3.36
Ru  0.3857  0.3857  0.2285  1 Ru 2.43, 4 Al 2.52
Ru  0.6143  0.6143  0.7715  1 Ru 2.43, 4 Al 2.52
Al  0.7500  0.2500  0.5000  4 Ru 2.52
Al  0.2500  0.7500  0.5000  4 Ru 2.52

**ΔH_f (0 K)**: -11.1 kcal/mol of atoms
**Raw total energy**: -6.981 eV/atom
**Calculated density**: 6.32 g cm⁻³



Entry 12:
YAl2Ru: relaxed, GGA-PBE.

a = 4.6319 Å, b = 4.6319 Å, c = 4.6400 Å
α = 119.86°, β = 119.82°, γ = 90.13°
With the nearest neighbours (Å) after each atom.
Atoms (fractional coordinates):
Y  0.2502  0.7499  0.5000  4 Ru 2.84, 4 Al 2.84
Ru  0.5003  0.5002  0.0000  4 Al 2.84-2.85, 4 Y 2.84
Al  0.9997  0.0000  0.0000  4 Al 2.84, 4 Y 2.84
Al  0.7498  0.2501  0.5000  4 Ru 2.84-2.85, 4 Al 2.84

**ΔH_f (0 K)**: -6.5 kcal/mol of atoms
**Raw total energy**: -6.086 eV/atom
**Calculated density**: 5.73 g cm⁻³



Q: Among the records above, which one has the highest ΔH_f (0 K)?
A: YAlRu3



Q: Which of these has the highest calculated density?
A: YAlRu4



Q: Which formula does entry 11 have?
A: YAl2Ru2